1.
# Zn2SiPb, PBEsol geometry, DFT meta-GGA SCAN
data_Zn2SiPb
_symmetry_space_group_name_H-M 'C 1 2/m 1'
_symmetry_Int_Tables_number 12
_symmetry_space_group_name_Hall '-C 2y'
_cell_length_a 7.4607
_cell_length_b 3.8545
_cell_length_c 5.7496
_cell_angle_alpha 90.00
_cell_angle_beta 108.49
_cell_angle_gamma 90.00
loop_
_atom_site_label
_atom_site_type_symbol
_atom_site_fract_x
_atom_site_fract_y
_atom_site_fract_z
Zn1 Zn 0.2245 0.0000 0.1600
Si1 Si 0.0000 0.5000 0.0000
Pb1 Pb 0.0000 0.0000 0.5000
# Calculated total energy = -223.26 eV for the cell shown
# Offset from the most stable computed form = 20 meV/atom


2.
# ZnSiPb, PBEsol geometry, DFT meta-GGA SCAN
data_ZnSiPb
_symmetry_space_group_name_H-M 'P -6 m 2'
_symmetry_Int_Tables_number 187
_symmetry_space_group_name_Hall 'P -6 2'
_cell_length_a 4.1396
_cell_length_b 4.1396
_cell_length_c 4.3480
_cell_angle_alpha 90.00
_cell_angle_beta 90.00
_cell_angle_gamma 120.00
loop_
_atom_site_label
_atom_site_type_symbol
_atom_site_fract_x
_atom_site_fract_y
_atom_site_fract_z
Zn1 Zn 0.0000 0.0000 0.0000
Si1 Si 0.6667 0.3333 0.0000
Pb1 Pb 0.3333 0.6667 0.5000
# Calculated total energy = -98.41 eV for the cell shown
# Offset from the most stable computed form = 0 meV/atom


3.
# Zn2SiPb, PBEsol geometry, DFT meta-GGA SCAN
data_Zn2SiPb
_symmetry_space_group_name_H-M 'C 1 m 1'
_symmetry_Int_Tables_number 8
_symmetry_space_group_name_Hall 'C -2y'
_cell_length_a 7.0285
_cell_length_b 4.0827
_cell_length_c 6.0302
_cell_angle_alpha 90.00
_cell_angle_beta 113.20
_cell_angle_gamma 90.00
loop_
_atom_site_label
_atom_site_type_symbol
_atom_site_fract_x
_atom_site_fract_y
_atom_site_fract_z
Zn1 Zn 0.0000 0.0000 0.0000
Zn2 Zn 0.2263 0.5000 0.1794
Si1 Si 0.2964 0.0000 0.8888
Pb1 Pb 0.0029 0.5000 0.5077
# Calculated total energy = -223.43 eV for the cell shown
# Offset from the most stable computed form = 0 meV/atom


4.
# Zn2SiPb, PBEsol geometry, DFT meta-GGA SCAN
data_Zn2SiPb
_symmetry_space_group_name_H-M 'P 1 2/m 1'
_symmetry_Int_Tables_number 10
_symmetry_space_group_name_Hall '-P 2y'
_cell_length_a 4.3458
_cell_length_b 3.4264
_cell_length_c 5.5474
_cell_angle_alpha 90.00
_cell_angle_beta 109.62
_cell_angle_gamma 90.00
loop_
_atom_site_label
_atom_site_type_symbol
_atom_site_fract_x
_atom_site_fract_y
_atom_site_fract_z
Zn1 Zn 0.0000 0.0000 0.0000
Zn2 Zn 0.5000 0.5000 0.5000
Si1 Si 0.0000 0.0000 0.5000
Pb1 Pb 0.5000 0.5000 0.0000
# Calculated total energy = -111.05 eV for the cell shown
# Offset from the most stable computed form = 165 meV/atom


The highest offset from the most stable computed form belongs to which entry? number 4